(1)
PBE La2Pr2Y6Th, optimized geometry; space-group type = Cmmm, No. 65; calculated total energy = -5.825 eV/atom; spin magnetization = 0.00 Bohr magnetons per cell; ΔH_f (0 K) = 1.542 eV per formula unit
1.0
6.741 -0.603 -0.402
-3.856 5.562 -0.402
-2.145 -3.687 11.287
La Pr Y Th
2 2 6 1
Direct
0.292 0.708 0.500
0.708 0.292 0.500
0.869 0.131 0.000
0.131 0.869 0.000
0.703 0.703 0.703
0.148 0.444 0.795
0.297 0.297 0.297
0.444 0.148 0.795
0.852 0.556 0.205
0.556 0.852 0.205
0.000 0.000 0.500

(2)
PBE Y2Au, optimized geometry; space-group type = Pnma, No. 62; calculated total energy = -6.050 eV/atom; spin magnetization = 0.00 Bohr magnetons per cell; ΔH_f (0 K) = -1.944 eV per formula unit
1.0
4.985 0.000 0.001
0.000 7.140 0.001
-0.001 -0.002 8.984
Y Au
8 4
Direct
0.750 0.852 0.919
0.250 0.513 0.824
0.250 0.013 0.676
0.750 0.351 0.581
0.250 0.648 0.419
0.750 0.987 0.324
0.750 0.487 0.176
0.250 0.149 0.081
0.750 0.258 0.902
0.750 0.758 0.598
0.250 0.242 0.402
0.250 0.742 0.098

(3)
PBE Ac3Zn7Rh4, optimized geometry; space-group type = C2/m, No. 12; calculated total energy = -4.099 eV/atom; spin magnetization = 0.00 Bohr magnetons per cell; ΔH_f (0 K) = -6.741 eV per formula unit
1.0
-2.038 -0.430 3.841
5.972 -0.016 5.652
0.376 7.924 3.573
Ac Zn Rh
3 7 4
Direct
0.305 0.187 0.202
0.695 0.813 0.798
0.000 0.500 0.500
0.320 0.845 0.515
0.490 0.238 0.781
0.858 0.376 0.909
0.680 0.155 0.485
0.142 0.624 0.091
0.000 0.000 0.000
0.510 0.762 0.219
0.675 0.441 0.209
0.325 0.559 0.791
0.899 0.892 0.311
0.101 0.108 0.689

(4)
PBE SrMg3Si2, optimized geometry; uncorrected formation energy = -147 kJ/mol of formula units; space-group type = C2/m, No. 12; calculated total energy = -3.139 eV/atom; spin magnetization = 0.00 Bohr magnetons per cell
1.0
-2.513 2.857 -2.102
-1.767 -7.985 -4.249
-6.974 0.099 8.473
Sr Mg Si
3 9 6
Direct
0.155 0.310 0.704
0.845 0.690 0.296
0.000 0.000 0.000
0.043 0.085 0.343
0.957 0.915 0.657
0.215 0.429 0.393
0.785 0.571 0.607
0.624 0.248 0.211
0.376 0.752 0.789
0.500 0.000 0.500
0.323 0.646 0.028
0.677 0.354 0.972
0.197 0.395 0.136
0.803 0.605 0.864
0.467 0.934 0.211
0.533 0.066 0.789
0.358 0.716 0.535
0.642 0.284 0.465

(5)
PBE Ta2AsBr, optimized geometry; uncorrected formation energy = 187 kJ/mol of formula units; offset from the most stable computed form = 0.6272 eV per atom; space-group type = Pmmm, No. 47; calculated total energy = -7.022 eV/atom; spin magnetization = 0.00 Bohr magnetons per cell
1.0
2.929 0.000 0.000
0.000 5.921 0.000
0.000 0.000 4.479
As Br Ta
1 1 2
Direct
0.500 0.000 0.500
0.000 0.500 0.500
0.000 0.000 0.000
0.500 0.500 0.000

(6)
PBE MgAl2Sb, optimized geometry; uncorrected formation energy = 26 kJ/mol of formula units; space-group type = Imm2, No. 44; calculated total energy = -3.233 eV/atom; spin magnetization = 0.00 Bohr magnetons per cell
1.0
-4.271 -2.202 2.530
1.381 -4.667 2.408
1.730 5.147 0.080
Al Mg Sb
2 1 1
Direct
0.992 0.992 0.000
0.761 0.261 0.500
0.504 0.504 0.000
0.243 0.743 0.500

So what do the calculations give for calculated volume? Going down the list: 34.17; 26.64; 20.11; 22.99; 19.42; 21.00 Å³/atom.